Computed, not measured: a relaxed structure of Be2NiSb at the PBE level of DFT.

a b c (Å): 3.6820 3.6820 7.5991
angles (deg): 90.00 90.00 90.00
Space group I-4m2 (No. 119)
Inequivalent atoms, fractional coordinates:
1 Be 0.0000 0.0000 0.0000
2 Be 0.0000 0.5000 0.2500
3 Ni 0.0000 0.0000 0.5000
4 Sb 0.0000 0.5000 0.7500

Results
Spin magnetization (μB per cell): 0.00
E_form (uncorrected) (eV/atom): 0.25